1.
5
Lattice="-4.8408 4.2470 -2.6631 -4.0431 -5.4964 -1.4162 -2.1746 0.4119 4.6098" Properties=species:S:1:pos:R:3 comment="Cs2ZnAgHg, relaxed, DFT PBE" spacegroup=P4/mmm volume_a3_per_atom=49.7 formation_energy_mev_per_atom=47 de_polymorph_ev_per_atom=0.000 pbc="T T T"
Cs -2.0215 -2.7482 -0.7081
Cs -2.4204 2.1235 -1.3316
Zn -1.0873 0.2059 2.3049
Hg -5.5293 -0.4188 0.2652
Ag 0.0000 0.0000 0.0000

2.
6
Lattice="5.8877 0.0000 0.0000 2.9439 5.0989 0.0000 2.9439 1.6996 4.8073" Properties=species:S:1:pos:R:3 comment="HoPaCd4, relaxed, DFT PBE" spacegroup=F-43m volume_a3_per_atom=24.1 formation_energy_mev_per_atom=4 pbc="T T T"
Pa 2.9439 1.6996 1.2018
Ho 0.0000 0.0000 0.0000
Cd 5.8877 3.3993 0.6011
Cd 5.8877 1.6998 3.0045
Cd 7.3595 4.2490 3.0045
Cd 4.4160 4.2490 3.0045

3.
14
Lattice="-2.0938 -1.0249 6.4871 -0.6127 -7.0274 -1.3080 10.6155 -0.7986 -0.6820" Properties=species:S:1:pos:R:3 comment="CsScMnTe4, relaxed, DFT PBE" e_form_raw_mev_per_atom=-656 spacegroup=P2_1/m volume_a3_per_atom=35.3 pbc="T T T"
Cs 8.0358 -6.8224 3.3778
Cs -0.1267 -2.0283 1.1193
Sc 2.7294 -6.4188 3.6945
Sc 5.1797 -2.4320 0.8026
Mn 2.6756 -5.7805 0.2903
Mn 5.2335 -3.0703 4.2068
Te 6.9275 -4.1744 -0.9135
Te 1.2748 -1.3131 6.0366
Te 0.9815 -4.6764 5.4106
Te 6.6343 -7.5377 -1.5395
Te 0.5648 -5.8563 1.6866
Te 7.3443 -2.9945 2.8105
Te 4.7789 -6.2046 1.5837
Te 3.1302 -2.6462 2.9134

4.
5
Lattice="-4.2635 -1.3517 -4.5493 -3.1800 -3.7258 4.0873 -3.5484 5.0354 1.8293" Properties=species:S:1:pos:R:3 comment="RbNiAsBr2, relaxed, DFT PBE" e_form_raw_mev_per_atom=944 spacegroup=P4/mmm volume_a3_per_atom=52.3 de_polymorph_ev_per_atom=1.390 pbc="T T T"
Ni -5.4959 -0.0211 0.6837
As -1.7742 2.5177 0.9147
Br -1.5900 -1.8629 2.0437
Br -2.1317 -0.6759 -2.2746
Rb 0.0000 0.0000 0.0000

5.
4
Lattice="-2.1861 0.5656 3.2117 -0.7205 -3.8548 0.1884 5.6590 -0.8620 4.0037" Properties=species:S:1:pos:R:3 comment="PuTh2Al, relaxed, DFT PBE" spacegroup=P4/mmm volume_a3_per_atom=26.9 formation_energy_mev_per_atom=-31 de_polymorph_ev_per_atom=0.080 pbc="T T T"
Al -1.4533 -1.6446 1.7001
Th 4.3139 -0.6571 3.0521
Th 1.3450 -0.2049 0.9516
Pu 1.3762 -2.0756 3.7019

6.
10
Lattice="-3.6585 -2.4424 6.3081 6.7388 -1.9394 3.1574 0.3775 4.5134 1.9665" Properties=species:S:1:pos:R:3 comment="Ba2MnAs2, relaxed, DFT PBE" spacegroup=P4/mbm volume_a3_per_atom=29.2 formation_energy_mev_per_atom=-484 pbc="T T T"
As 4.4363 -2.4874 4.8572
As 1.3083 -3.3348 7.4028
As -1.3560 -1.8944 4.6083
As 1.7720 -1.0470 2.0628
Mn 0.0000 0.0000 0.0000
Mn 1.5401 -2.1909 4.7328
Ba 4.0497 0.5879 4.0722
Ba 3.4394 -0.9841 7.7974
Ba -0.5918 -0.4563 7.3598
Ba 0.0184 1.1158 3.6346

7.
4
Lattice="0.4605 3.2445 -1.6464 1.6703 -1.6623 -2.8089 -9.4879 -4.3471 -3.0694" Properties=species:S:1:pos:R:3 comment="PrGd, relaxed, DFT PBE" spacegroup=P4/nmm volume_a3_per_atom=34.4 formation_energy_mev_per_atom=20 de_polymorph_ev_per_atom=0.000 pbc="T T T"
Pr -5.1427 -0.2975 -4.0786
Pr -2.2143 -2.4674 -3.4460
Gd -6.7898 -3.0254 -5.8366
Gd -0.5673 0.2605 -1.6880

8.
5
Lattice="4.2277 0.0000 0.0000 0.0000 4.2277 0.0000 2.1139 2.1139 5.0786" Properties=species:S:1:pos:R:3 comment="LaFe2Mo2, relaxed, DFT PBE" spacegroup=I4/mmm volume_a3_per_atom=18.2 formation_energy_mev_per_atom=333 de_polymorph_ev_per_atom=0.211 pbc="T T T"
Mo 2.1139 2.1139 1.3755
Mo 4.2277 4.2277 3.7031
Fe 4.2277 2.1139 2.5393
Fe 2.1139 4.2277 2.5393
La 0.0000 0.0000 0.0000